# 1
## Cr2InCl (PBE)

Data for crystalline Cr2InCl at its relaxed geometry.

Cell lengths 8.566, 8.566, 8.566 Å; angles 21.46, 21.46, 21.46 degrees
Atoms (fractional coordinates):
Cr  0.000  0.000  0.000
Cr  0.269  0.269  0.269
In  0.513  0.513  0.513
Cl  0.737  0.737  0.737

---

# 2
## Cr2InCl (PBE)

Data for crystalline Cr2InCl at its relaxed geometry.

Cell lengths 4.794, 4.794, 4.794 Å; angles 60.00, 60.00, 60.00 degrees
Atoms (fractional coordinates):
Cr  0.250  0.250  0.250
Cr  0.750  0.750  0.750
In  0.000  0.000  0.000
Cl  0.500  0.500  0.500

---

# 3
## Cr2In2Cl (PBE)

Data for crystalline Cr2In2Cl at its relaxed geometry.

Cell lengths 8.124, 8.124, 3.120 Å; angles 90.00, 90.00, 90.00 degrees
Atoms (fractional coordinates):
Cr  0.079  0.421  0.000
Cr  0.421  0.921  0.000
Cr  0.579  0.079  0.000
Cr  0.921  0.579  0.000
In  0.208  0.708  0.500
In  0.292  0.208  0.500
In  0.708  0.792  0.500
In  0.792  0.292  0.500
Cl  0.000  0.000  0.500
Cl  0.500  0.500  0.500

---

Relative energy among the computed polymorphs, record by record: 4.9; 53.1; 3.1 kJ/mol of atoms
Energy relative to the elements, uncorrected, record by record: 0.52; 2.52; 2.12 eV per formula unit